The following is a DFT calculation (PBE-GGA) of a relaxed structure of Tm2InHg3.

Properties
The calculation puts the density at 11.131 Mg/m³. The energy above the most stable polymorph in this dataset comes out at 0.160 eV per atom. The value obtained for the formation energy from the elements is -0.192 eV/atom.

a = 3.582 Å, b = 4.549 Å, c = 19.306 Å
α = 90.00°, β = 90.00°, γ = 90.00°
Space group Imm2 (No. 44)
Unique sites:
1 Tm 0.000 0.000 0.000
2 Tm 0.000 0.500 0.231
3 In 0.000 0.000 0.576
4 Hg 0.000 0.000 0.425
5 Hg 0.000 0.500 0.659
6 Hg 0.000 0.500 0.809

***

The following is a DFT calculation (PBE-GGA) of a relaxed structure of SrZn2Ag.

Properties
The calculation puts the density at 5.846 Mg/m³. The value obtained for the formation energy from the elements is -0.086 eV/atom.

a = 3.510 Å, b = 4.280 Å, c = 6.413 Å
α = 90.00°, β = 105.84°, γ = 90.00°
Space group Pm (No. 6)
Unique sites:
1 Sr 0.000 0.000 0.000
2 Zn 0.636 0.500 0.274
3 Zn 0.746 0.000 0.487
4 Ag 0.316 0.500 0.633

***

The following is a DFT calculation (PBE-GGA) of a relaxed structure of Ac6Te3Pt2Br.

Properties
The calculation puts the density at 8.590 Mg/m³. As for the formation energy without anion corrections: -1.38 eV per atom.

a = 7.893 Å, b = 13.639 Å, c = 8.366 Å
α = 90.00°, β = 108.05°, γ = 90.00°
Space group C2/m (No. 12)
Unique sites:
1 Ac 0.212 0.000 0.218
2 Ac 0.243 0.181 0.777
3 Te 0.000 0.000 0.500
4 Te 0.000 0.344 0.500
5 Pt 0.000 0.169 0.000
6 Br 0.000 0.500 0.000

***

The following is a DFT calculation (PBE-GGA) of a relaxed structure of LiTlGa3.

Properties
The calculation puts the density at 6.278 Mg/m³. The energy above the most stable polymorph in this dataset comes out at 0.000 eV per atom. The value obtained for the formation energy from the elements is 0.178 eV/atom.

a = 4.809 Å, b = 4.809 Å, c = 4.809 Å
α = 90.00°, β = 90.00°, γ = 90.00°
Space group Pm-3m (No. 221)
Unique sites:
1 Li 0.000 0.000 0.000
2 Tl 0.500 0.500 0.500
3 Ga 0.000 0.000 0.500